Entry 1:
Material: HoB6W2
Method: DFT, GGA-PBE
State: optimized geometry

Geometry as POSCAR:
```
HoB6W2
1.0
-2.275 -0.794 2.513
-3.541 -1.575 -3.703
3.486 -3.522 2.044
W B Ho
2 6 1
Direct
0.000 0.333 0.667
0.000 0.667 0.333
0.500 0.661 0.000
0.500 0.339 0.339
0.500 0.661 0.661
0.500 0.000 0.339
0.500 0.000 0.661
0.500 0.339 0.000
0.000 0.000 0.000
```

## Properties
DFT formation energy: -31.7 kJ per mole of atoms
space-group type: P6/mmm
total magnetization: 0.000 μB per formula unit
D(E_F): 3.11 states/eV per cell


Entry 2:
Material: HoB4W2
Method: DFT, GGA-PBE
State: optimized geometry

Geometry as POSCAR:
```
HoB4W2
1.0
-2.652 -4.793 2.048
4.012 -1.954 0.621
-1.099 4.551 5.081
B Ho W
8 2 4
Direct
0.425 0.855 0.707
0.075 0.148 0.293
0.189 0.091 0.765
0.811 0.909 0.235
0.925 0.852 0.707
0.575 0.145 0.293
0.311 0.325 0.235
0.689 0.675 0.765
0.750 0.269 0.000
0.250 0.731 0.000
0.894 0.291 0.569
0.394 0.278 0.569
0.106 0.709 0.431
0.606 0.722 0.431
```

## Properties
DFT formation energy: -30.1 kJ per mole of atoms
space-group type: C2/c
total magnetization: 0.000 μB per formula unit
D(E_F): 6.47 states/eV per cell


Entry 3:
Material: YHoB4
Method: DFT, GGA-PBE
State: optimized geometry

Geometry as POSCAR:
```
YHoB4
1.0
-0.874 -3.456 0.036
3.397 -0.852 0.665
-2.289 2.472 5.308
B Y Ho
4 1 1
Direct
0.422 0.422 0.844
0.578 0.578 0.156
0.671 0.171 0.342
0.829 0.329 0.658
0.250 0.750 0.500
0.000 0.000 0.000
```

## Properties
DFT formation energy: -41.2 kJ per mole of atoms
space-group type: I-4m2
total magnetization: 0.000 μB per formula unit
D(E_F): 1.70 states/eV per cell


Entry 4:
Material: YHo2B6
Method: DFT, GGA-PBE
State: optimized geometry

Geometry as POSCAR:
```
YHo2B6
1.0
-1.683 -3.384 0.779
1.764 -2.031 -5.010
3.278 -0.569 4.612
Ho B Y
2 6 1
Direct
0.000 0.667 0.333
0.000 0.333 0.667
0.500 0.334 0.334
0.500 0.000 0.334
0.500 0.334 0.000
0.500 0.000 0.666
0.500 0.666 0.000
0.500 0.666 0.666
0.000 0.000 0.000
```

## Properties
DFT formation energy: -56.6 kJ per mole of atoms
space-group type: P6/mmm
total magnetization: 0.000 μB per formula unit
D(E_F): 2.35 states/eV per cell


Entry 5:
Material: HoZr2B6
Method: DFT, GGA-PBE
State: optimized geometry

Geometry as POSCAR:
```
HoZr2B6
1.0
3.639 0.000 0.000
0.000 4.816 -2.780
0.000 0.000 5.561
Ho B Zr
1 6 2
Direct
0.000 0.000 0.000
0.500 0.663 0.000
0.500 0.663 0.663
0.500 0.337 0.337
0.500 0.000 0.337
0.500 0.337 0.000
0.500 0.000 0.663
0.000 0.667 0.333
0.000 0.333 0.667
```

## Properties
DFT formation energy: -82.8 kJ per mole of atoms
space-group type: P6/mmm
total magnetization: 0.000 μB per formula unit
D(E_F): 1.07 states/eV per cell


Entry 6:
Material: BI
Method: DFT, GGA-PBE
State: optimized geometry

Geometry as POSCAR:
```
BI
1.0
13.198 0.000 0.000
0.000 13.198 0.000
0.000 0.000 3.131
I B
8 8
Direct
0.246 0.442 0.000
0.058 0.746 0.500
0.754 0.558 0.000
0.442 0.754 0.000
0.254 0.058 0.500
0.558 0.246 0.000
0.746 0.942 0.500
0.942 0.254 0.500
0.750 0.771 0.500
0.729 0.250 0.000
0.750 0.729 0.000
0.250 0.229 0.500
0.229 0.750 0.500
0.250 0.271 0.000
0.771 0.250 0.500
0.271 0.750 0.000
```

## Properties
space-group type: I4/m
formation energy (no corrections): 0.42 eV/atom
total magnetization: 0.000 μB per formula unit
D(E_F): 6.02 states/eV per cell
ΔE to the lowest computed polymorph: 204.6 meV per atom


Entry 7:
Material: BI
Method: DFT, GGA-PBE
State: optimized geometry

Geometry as POSCAR:
```
BI
1.0
-2.252 -1.370 -2.575
-0.530 -10.379 5.983
-6.201 2.634 4.021
I B
6 6
Direct
0.500 0.000 0.614
0.000 0.258 0.351
0.000 0.742 0.351
0.500 0.500 0.114
0.000 0.758 0.851
0.000 0.242 0.851
0.000 0.500 0.889
0.500 0.287 0.149
0.500 0.213 0.649
0.500 0.787 0.649
0.500 0.713 0.149
0.000 0.000 0.389
```

## Properties
space-group type: Amm2
formation energy (no corrections): 1.63 eV/atom
total magnetization: 0.000 μB per formula unit
D(E_F): 2.00 states/eV per cell
ΔE to the lowest computed polymorph: 1410.0 meV per atom


Entry 8:
Material: BI
Method: DFT, GGA-PBE
State: optimized geometry

Geometry as POSCAR:
```
BI
1.0
-0.731 2.104 1.974
-6.870 -5.581 3.402
8.920 -5.436 9.096
B I
6 6
Direct
0.500 0.772 0.058
0.000 0.228 0.558
0.000 0.228 0.442
0.000 0.776 0.000
0.500 0.772 0.942
0.500 0.224 0.500
0.000 0.747 0.757
0.000 0.730 0.500
0.500 0.253 0.743
0.000 0.747 0.243
0.500 0.253 0.257
0.500 0.270 0.000
```

## Properties
space-group type: Pmmn
formation energy (no corrections): 0.79 eV/atom
total magnetization: 0.056 μB per formula unit
D(E_F): 9.56 states/eV per cell
ΔE to the lowest computed polymorph: 568.9 meV per atom


Entry 9:
Material: BI3
Method: DFT, GGA-PBE
State: optimized geometry

Geometry as POSCAR:
```
BI3
1.0
0.000 3.949 3.949
3.949 0.000 3.949
3.949 3.949 0.000
I B
3 1
Direct
0.250 0.250 0.250
0.750 0.750 0.750
0.500 0.500 0.500
0.000 0.000 0.000
```

## Properties
space-group type: Fm-3m
formation energy (no corrections): 1.44 eV/atom
total magnetization: 0.000 μB per formula unit
D(E_F): 8.00 states/eV per cell
ΔE to the lowest computed polymorph: 1475.9 meV per atom


Entry 10:
Material: BI
Method: DFT, GGA-PBE
State: optimized geometry

Geometry as POSCAR:
```
BI
1.0
-4.510 0.248 -6.115
4.157 -5.451 -3.286
-4.492 -5.293 3.098
B I
6 6
Direct
0.000 0.500 0.750
0.500 0.250 0.000
0.750 0.000 0.500
0.250 0.000 0.500
0.000 0.500 0.250
0.500 0.750 0.000
0.000 0.250 0.500
0.000 0.750 0.500
0.500 0.000 0.250
0.500 0.000 0.750
0.750 0.500 0.000
0.250 0.500 0.000
```

## Properties
space-group type: Pm-3n
formation energy (no corrections): 1.74 eV/atom
total magnetization: 0.000 μB per formula unit
ΔE to the lowest computed polymorph: 1525.4 meV per atom


Entry 11:
Material: BI
Method: DFT, GGA-PBE
State: optimized geometry

Geometry as POSCAR:
```
BI
1.0
9.206 0.000 0.000
0.000 9.206 0.000
0.000 0.000 9.206
I B
8 8
Direct
0.804 0.804 0.196
0.696 0.696 0.696
0.804 0.196 0.804
0.196 0.804 0.804
0.696 0.304 0.304
0.304 0.696 0.304
0.304 0.304 0.696
0.196 0.196 0.196
0.935 0.065 0.935
0.565 0.565 0.565
0.065 0.065 0.065
0.935 0.935 0.065
0.065 0.935 0.935
0.565 0.435 0.435
0.435 0.435 0.565
0.435 0.565 0.435
```

## Properties
space-group type: I-43m
formation energy (no corrections): 0.22 eV/atom
total magnetization: 0.000 μB per formula unit
D(E_F): 0.00 states/eV per cell
ΔE to the lowest computed polymorph: 0.0 meV per atom


Entry 12:
Material: BI
Method: DFT, GGA-PBE
State: optimized geometry

Geometry as POSCAR:
```
BI
1.0
-2.407 0.584 -5.036
4.567 -2.170 -2.434
-2.185 -5.106 0.452
I B
4 4
Direct
0.758 0.242 0.500
0.742 0.742 0.000
0.258 0.258 0.000
0.242 0.758 0.500
0.289 0.711 0.000
0.211 0.211 0.500
0.711 0.289 0.000
0.789 0.789 0.500
```

## Properties
space-group type: P4_2/mnm
formation energy (no corrections): 1.59 eV/atom
total magnetization: 0.000 μB per formula unit
ΔE to the lowest computed polymorph: 1372.6 meV per atom